The following is a DFT calculation (PBE-GGA) of an optimized crystal structure of PuMgCu2.

```
PuMgCu2
1.0
2.902 0.000 0.000
1.451 2.513 0.000
1.451 0.838 9.430
Mg Pu Cu
1 1 2
Direct
0.000 0.000 0.000
0.500 0.500 0.500
0.256 0.256 0.232
0.744 0.744 0.768
```

Values from the calculation:
- symmetry = R-3m
- formation energy from the elements (meV/atom) = 199


The following is a DFT calculation (PBE-GGA) of an optimized crystal structure of SrTl2Fe.

```
SrTl2Fe
1.0
-2.978 -3.689 -3.515
-1.095 -4.924 3.064
-1.103 5.796 0.134
Tl Sr Fe
2 1 1
Direct
0.958 0.958 0.000
0.542 0.542 0.000
0.250 0.750 0.500
0.750 0.250 0.500
```

Values from the calculation:
- symmetry = Immm
- formation energy from the elements (meV/atom) = 229


The following is a DFT calculation (PBE-GGA) of an optimized crystal structure of Ac6Tl3Hg.

```
Ac6Tl3Hg
1.0
-3.701 -0.057 4.428
-7.708 -2.316 -6.474
5.058 -11.171 4.084
Ac Hg Tl
12 2 6
Direct
0.750 0.887 0.123
0.750 0.519 0.900
0.250 0.113 0.877
0.250 0.857 0.333
0.750 0.143 0.667
0.750 0.752 0.500
0.250 0.248 0.500
0.750 0.345 0.322
0.250 0.126 0.153
0.750 0.874 0.847
0.250 0.481 0.100
0.250 0.655 0.678
0.250 0.948 0.612
0.750 0.052 0.388
0.750 0.626 0.222
0.750 0.466 0.612
0.250 0.374 0.778
0.250 0.774 0.969
0.250 0.534 0.388
0.750 0.226 0.031
```

Values from the calculation:
- symmetry = P2_1/m
- formation energy from the elements (meV/atom) = -270


The following is a DFT calculation (PBE-GGA) of an optimized crystal structure of Er3MgHg2.

```
Er3MgHg2
1.0
-1.376 -0.358 3.429
4.618 -1.650 1.682
-0.230 8.287 0.772
Hg Er Mg
2 3 1
Direct
0.000 0.345 0.690
0.000 0.655 0.310
0.500 0.171 0.342
0.500 0.500 0.000
0.500 0.829 0.658
0.000 0.000 0.000
```

Values from the calculation:
- symmetry = Cmmm
- formation energy from the elements (meV/atom) = -358